## LiCa2BCl (GGA-PBE)

Data for a relaxed LiCa2BCl crystal.

Computed properties:
* magnetic moment: 0.002 μB per formula unit
* uncorrected energy: -13.3 eV/f.u.

The structure in extended XYZ format:
```
5
Lattice="5.250 0.000 0.000 0.000 5.250 0.000 0.000 0.000 5.227" Properties=species:S:1:pos:R:3 pbc="T T T"
Li 0.000 0.000 0.000
Ca 0.000 2.625 2.613
Ca 2.625 0.000 2.613
B 2.625 2.625 2.613
Cl 2.625 2.625 0.000
```